No. 1
A plane-wave DFT calculation with SCAN was carried out for Cd2GaN at its PBEsol-relaxed geometry.

Cell and atoms, written as POSCAR:
```
Cd2GaN
1.0
0.000 3.206 3.206
3.206 0.000 3.206
3.206 3.206 0.000
Cd Ga N
2 1 1
direct
0.250 0.250 0.250
0.750 0.750 0.750
0.000 0.000 0.000
0.500 0.500 0.500
```

- formation energy (no corrections) (eV/atom) = 0.93
- raw total energy (eV per atom) = -20.682

No. 2
A plane-wave DFT calculation with SCAN was carried out for Cd3GaN at its PBEsol-relaxed geometry.

Cell and atoms, written as POSCAR:
```
Cd3GaN
1.0
4.558 0.000 0.000
0.000 4.558 0.000
0.000 0.000 4.558
Cd Ga N
3 1 1
direct
0.000 0.000 0.500
0.000 0.500 0.000
0.500 0.000 0.000
0.500 0.500 0.500
0.000 0.000 0.000
```

- formation energy (no corrections) (eV/atom) = 0.49
- raw total energy (eV per atom) = -22.885

No. 3
A plane-wave DFT calculation with SCAN was carried out for ZrCd2GaN at its PBEsol-relaxed geometry.

Cell and atoms, written as POSCAR:
```
ZrCd2GaN
1.0
4.688 0.000 0.000
0.000 4.688 0.000
0.000 0.000 5.230
Zr Cd Ga N
1 2 1 1
direct
0.000 0.000 0.000
0.000 0.500 0.500
0.500 0.000 0.500
0.000 0.000 0.500
0.500 0.500 0.000
```

- formation energy (no corrections) (eV/atom) = 1.22
- raw total energy (eV per atom) = -22.216

No. 4
A plane-wave DFT calculation with SCAN was carried out for Na2CdGa2 at its PBEsol-relaxed geometry.

Cell and atoms, written as POSCAR:
```
Na2CdGa2
1.0
6.867 0.000 0.000
0.000 6.867 0.000
0.000 0.000 4.900
Na Cd Ga
4 2 4
direct
0.175 0.325 0.000
0.325 0.825 0.000
0.675 0.175 0.000
0.825 0.675 0.000
0.000 0.000 0.500
0.500 0.500 0.500
0.127 0.627 0.500
0.373 0.127 0.500
0.627 0.873 0.500
0.873 0.373 0.500
```

- raw total energy (eV per atom) = -14.398
- offset from the most stable computed form (kJ/mol of formula units) = 0
- calculated formation energy (eV/atom) = -0.091

No. 5
A plane-wave DFT calculation with SCAN was carried out for NaCd3Ga at its PBEsol-relaxed geometry.

Cell and atoms, written as POSCAR:
```
NaCd3Ga
1.0
5.170 0.000 0.000
0.000 5.170 0.000
0.000 0.000 5.170
Na Cd Ga
1 3 1
direct
0.000 0.000 0.000
0.000 0.500 0.500
0.500 0.000 0.500
0.500 0.500 0.000
0.500 0.500 0.500
```

- raw total energy (eV per atom) = -22.210
- calculated formation energy (eV/atom) = 0.150

No. 6
A plane-wave DFT calculation with SCAN was carried out for NaCd2Ga2 at its PBEsol-relaxed geometry.

Cell and atoms, written as POSCAR:
```
NaCd2Ga2
1.0
-2.011 2.011 6.651
2.011 -2.011 6.651
2.011 2.011 -6.651
Na Cd Ga
1 2 2
direct
0.000 0.000 0.000
0.396 0.396 0.000
0.604 0.604 0.000
0.250 0.750 0.500
0.750 0.250 0.500
```

- raw total energy (eV per atom) = -19.609
- calculated formation energy (eV/atom) = -0.062

No. 7
A plane-wave DFT calculation with SCAN was carried out for Na2CdGa2 at its PBEsol-relaxed geometry.

Cell and atoms, written as POSCAR:
```
Na2CdGa2
1.0
-2.023 2.023 6.954
2.023 -2.023 6.954
2.023 2.023 -6.954
Na Cd Ga
2 1 2
direct
0.250 0.750 0.500
0.750 0.250 0.500
0.000 0.000 0.000
0.412 0.412 0.000
0.588 0.588 0.000
```

- raw total energy (eV per atom) = -14.176
- offset from the most stable computed form (kJ/mol of formula units) = 107
- calculated formation energy (eV/atom) = 0.131

No. 8
A plane-wave DFT calculation with SCAN was carried out for Na2CdGa2 at its PBEsol-relaxed geometry.

Cell and atoms, written as POSCAR:
```
Na2CdGa2
1.0
-1.829 1.829 9.250
1.829 -1.829 9.250
1.829 1.829 -9.250
Na Cd Ga
2 1 2
direct
0.107 0.107 0.000
0.893 0.893 0.000
0.500 0.500 0.000
0.250 0.750 0.500
0.750 0.250 0.500
```

- raw total energy (eV per atom) = -14.309
- offset from the most stable computed form (kJ/mol of formula units) = 43
- calculated formation energy (eV/atom) = -0.001

No. 9
A plane-wave DFT calculation with SCAN was carried out for NbTl2CdGa at its PBEsol-relaxed geometry.

Cell and atoms, written as POSCAR:
```
NbTl2CdGa
1.0
5.457 0.000 0.000
0.000 5.457 0.000
0.000 0.000 4.992
Nb Tl Cd Ga
1 2 1 1
direct
0.000 0.000 0.000
0.000 0.500 0.000
0.500 0.000 0.000
0.500 0.500 0.500
0.000 0.000 0.500
```

- raw total energy (eV per atom) = -44.313
- calculated formation energy (eV/atom) = 0.608

No. 10
A plane-wave DFT calculation with SCAN was carried out for YNbCdGa2 at its PBEsol-relaxed geometry.

Cell and atoms, written as POSCAR:
```
YNbCdGa2
1.0
5.014 0.000 0.000
0.000 5.014 0.000
0.000 0.000 5.204
Y Nb Cd Ga
1 1 1 2
direct
0.000 0.000 0.000
0.000 0.000 0.500
0.500 0.500 0.000
0.000 0.500 0.500
0.500 0.000 0.500
```

- raw total energy (eV per atom) = -24.371
- calculated formation energy (eV/atom) = 0.445

No. 11
A plane-wave DFT calculation with SCAN was carried out for Tl2CdGaNi at its PBEsol-relaxed geometry.

Cell and atoms, written as POSCAR:
```
Tl2CdGaNi
1.0
5.026 0.000 0.000
0.000 5.026 0.000
0.000 0.000 4.581
Tl Cd Ga Ni
2 1 1 1
direct
0.000 0.500 0.000
0.500 0.000 0.000
0.000 0.000 0.500
0.500 0.500 0.500
0.500 0.500 0.000
```

- raw total energy (eV per atom) = -41.434
- calculated formation energy (eV/atom) = 0.096

No. 12
A plane-wave DFT calculation with SCAN was carried out for CdGa2O4 at its PBEsol-relaxed geometry.

Cell and atoms, written as POSCAR:
```
CdGa2O4
1.0
3.044 1.758 20.092
-3.044 1.758 20.092
0.000 -3.515 20.092
Cd Ga O
8 16 32
direct
0.000 0.000 0.000
0.061 0.061 0.061
0.250 0.250 0.250
0.499 0.499 0.499
0.657 0.657 0.657
0.750 0.750 0.750
0.812 0.812 0.812
0.905 0.905 0.905
0.027 0.534 0.534
0.034 0.034 0.522
0.034 0.522 0.034
0.155 0.155 0.155
0.272 0.785 0.785
0.281 0.281 0.780
0.281 0.780 0.281
0.310 0.310 0.310
0.406 0.406 0.406
0.522 0.034 0.034
0.534 0.027 0.534
0.534 0.534 0.027
0.561 0.561 0.561
0.780 0.281 0.281
0.785 0.272 0.785
0.785 0.785 0.272
0.081 0.081 0.630
0.081 0.630 0.081
0.097 0.097 0.097
0.144 0.571 0.571
0.213 0.213 0.213
0.219 0.712 0.712
0.244 0.244 0.662
0.244 0.662 0.244
0.318 0.318 0.895
0.318 0.895 0.318
0.342 0.342 0.342
0.376 0.835 0.835
0.421 0.989 0.989
0.464 0.464 0.464
0.470 0.470 0.955
0.470 0.955 0.470
0.571 0.144 0.571
0.571 0.571 0.144
0.593 0.593 0.593
0.630 0.081 0.081
0.662 0.244 0.244
0.712 0.219 0.712
0.712 0.712 0.219
0.715 0.715 0.715
0.835 0.376 0.835
0.835 0.835 0.376
0.849 0.849 0.849
0.895 0.318 0.318
0.955 0.470 0.470
0.965 0.965 0.965
0.989 0.421 0.989
0.989 0.989 0.421
```

- formation energy (no corrections) (eV/atom) = -1.80
- raw total energy (eV per atom) = -14.378

No. 13
A plane-wave DFT calculation with SCAN was carried out for CdGaO2 at its PBEsol-relaxed geometry.

Cell and atoms, written as POSCAR:
```
CdGaO2
1.0
0.000 2.848 2.848
2.848 0.000 2.848
2.848 2.848 0.000
Cd Ga O
1 1 2
direct
0.000 0.000 0.000
0.500 0.500 0.500
0.250 0.250 0.250
0.750 0.750 0.750
```

- formation energy (no corrections) (eV/atom) = -0.52
- raw total energy (eV per atom) = -15.330

No. 14
A plane-wave DFT calculation with SCAN was carried out for CdGa2O4 at its PBEsol-relaxed geometry.

Cell and atoms, written as POSCAR:
```
CdGa2O4
1.0
9.132 0.000 0.000
0.000 2.974 0.000
0.000 0.000 10.614
Cd Ga O
4 8 16
direct
0.243 0.250 0.154
0.257 0.750 0.654
0.743 0.250 0.346
0.757 0.750 0.846
0.064 0.250 0.387
0.084 0.250 0.895
0.416 0.750 0.395
0.436 0.750 0.887
0.564 0.250 0.113
0.584 0.250 0.605
0.916 0.750 0.105
0.936 0.750 0.613
0.030 0.750 0.783
0.082 0.250 0.570
0.116 0.750 0.023
0.204 0.750 0.340
0.296 0.250 0.840
0.384 0.250 0.523
0.418 0.750 0.070
0.470 0.250 0.283
0.530 0.750 0.717
0.582 0.250 0.930
0.616 0.750 0.477
0.704 0.750 0.160
0.796 0.250 0.660
0.884 0.250 0.977
0.918 0.750 0.430
0.970 0.250 0.217
```

- formation energy (no corrections) (eV/atom) = -1.80
- raw total energy (eV per atom) = -14.372

No. 15
A plane-wave DFT calculation with SCAN was carried out for CdGa2Os2 at its PBEsol-relaxed geometry.

Cell and atoms, written as POSCAR:
```
CdGa2Os2
1.0
-1.895 1.895 5.819
1.895 -1.895 5.819
1.895 1.895 -5.819
Cd Ga Os
1 2 2
direct
0.000 0.000 0.000
0.250 0.750 0.500
0.750 0.250 0.500
0.394 0.394 0.000
0.606 0.606 0.000
```

- raw total energy (eV per atom) = -40.992
- calculated formation energy (eV/atom) = 0.381

No. 16
A plane-wave DFT calculation with SCAN was carried out for YCd2GaOs at its PBEsol-relaxed geometry.

Cell and atoms, written as POSCAR:
```
YCd2GaOs
1.0
4.777 0.000 0.000
0.000 4.777 0.000
0.000 0.000 4.754
Y Cd Ga Os
1 2 1 1
direct
0.000 0.000 0.000
0.000 0.500 0.500
0.500 0.000 0.500
0.500 0.500 0.500
0.500 0.500 0.000
```

- raw total energy (eV per atom) = -34.915
- calculated formation energy (eV/atom) = 0.464

No. 17
A plane-wave DFT calculation with SCAN was carried out for ZrCdGa2Os at its PBEsol-relaxed geometry.

Cell and atoms, written as POSCAR:
```
ZrCdGa2Os
1.0
4.623 0.000 0.000
0.000 4.623 0.000
0.000 0.000 5.032
Zr Cd Ga Os
1 1 2 1
direct
0.000 0.000 0.000
0.500 0.500 0.000
0.000 0.500 0.500
0.500 0.000 0.500
0.500 0.500 0.500
```

- raw total energy (eV per atom) = -32.738
- calculated formation energy (eV/atom) = 0.399

No. 18
A plane-wave DFT calculation with SCAN was carried out for Cd2GaP2 at its PBEsol-relaxed geometry.

Cell and atoms, written as POSCAR:
```
Cd2GaP2
1.0
-1.672 1.672 8.505
1.672 -1.672 8.505
1.672 1.672 -8.505
Cd Ga P
2 1 2
direct
0.103 0.103 0.000
0.897 0.897 0.000
0.500 0.500 0.000
0.250 0.750 0.500
0.750 0.250 0.500
```

- raw total energy (eV per atom) = -19.345
- calculated formation energy (eV/atom) = 0.249

No. 19
A plane-wave DFT calculation with SCAN was carried out for CdGa2Pb2 at its PBEsol-relaxed geometry.

Cell and atoms, written as POSCAR:
```
CdGa2Pb2
1.0
7.173 0.000 0.000
0.000 7.173 0.000
0.000 0.000 4.624
Cd Ga Pb
2 4 4
direct
0.000 0.000 0.000
0.500 0.500 0.000
0.128 0.372 0.000
0.372 0.872 0.000
0.628 0.128 0.000
0.872 0.628 0.000
0.181 0.681 0.500
0.319 0.181 0.500
0.681 0.819 0.500
0.819 0.319 0.500
```

- raw total energy (eV per atom) = -42.831
- offset from the most stable computed form (kJ/mol of formula units) = 0
- calculated formation energy (eV/atom) = 0.103

No. 20
A plane-wave DFT calculation with SCAN was carried out for Cd2Ga2Pb at its PBEsol-relaxed geometry.

Cell and atoms, written as POSCAR:
```
Cd2Ga2Pb
1.0
8.322 0.000 0.000
0.000 8.322 0.000
0.000 0.000 3.184
Cd Ga Pb
4 4 2
direct
0.130 0.370 0.000
0.370 0.870 0.000
0.630 0.130 0.000
0.870 0.630 0.000
0.167 0.667 0.500
0.333 0.167 0.500
0.667 0.833 0.500
0.833 0.333 0.500
0.000 0.000 0.000
0.500 0.500 0.000
```

- raw total energy (eV per atom) = -33.723
- offset from the most stable computed form (kJ/mol of formula units) = 18
- calculated formation energy (eV/atom) = 0.137